1.
A plane-wave DFT calculation with PBE-GGA was carried out for a relaxed structure of La2TmRu.

Cell and atoms, written as POSCAR:
```
La2TmRu
1.0
6.336 0.000 0.000
0.000 7.370 0.000
0.000 0.000 9.877
La Tm Ru
8 4 4
direct
0.171 0.675 0.067
0.329 0.175 0.433
0.829 0.325 0.567
0.671 0.825 0.933
0.829 0.325 0.933
0.671 0.825 0.567
0.171 0.675 0.433
0.329 0.175 0.067
0.653 0.545 0.250
0.847 0.045 0.250
0.347 0.455 0.750
0.153 0.955 0.750
0.052 0.384 0.250
0.448 0.884 0.250
0.948 0.616 0.750
0.552 0.116 0.750
```

Computed properties:
The value obtained for the density is 7.9 g/cm³. The value obtained for the spin magnetization is 0.000 Bohr magnetons per cell. Its density of states at the Fermi level is 16.23 states/eV/cell. Its space group is No. 62.

=====

2.
A plane-wave DFT calculation with PBE-GGA was carried out for a relaxed structure of La2TmRu.

Cell and atoms, written as POSCAR:
```
La2TmRu
1.0
-0.402 -3.608 1.087
2.474 -2.619 -1.173
6.633 -0.215 8.346
Ru Tm La
1 1 2
direct
0.500 0.500 0.500
0.000 0.000 0.000
0.111 0.111 0.668
0.889 0.889 0.332
```

Computed properties:
The value obtained for the density is 7.0 g/cm³. The value obtained for the spin magnetization is 0.000 Bohr magnetons per cell. Its density of states at the Fermi level is 4.88 states/eV/cell. Its space group is No. 166.

=====

3.
A plane-wave DFT calculation with PBE-GGA was carried out for a relaxed structure of La2TmRu.

Cell and atoms, written as POSCAR:
```
La2TmRu
1.0
4.080 -0.001 0.000
-2.040 6.054 0.000
0.000 0.000 9.396
La Tm Ru
4 2 2
direct
0.361 0.722 0.570
0.639 0.278 0.430
0.361 0.722 0.930
0.639 0.278 0.070
0.915 0.831 0.250
0.085 0.169 0.750
0.741 0.481 0.750
0.259 0.519 0.250
```

Computed properties:
The value obtained for the density is 7.8 g/cm³. The value obtained for the spin magnetization is 0.000 Bohr magnetons per cell. Its density of states at the Fermi level is 6.61 states/eV/cell. Its space group is No. 63.

=====

Most stable to least stable: 1, 3, 2

=====

1.
A plane-wave DFT calculation with PBE-GGA was carried out for a relaxed structure of LaV2Ru2.

Cell and atoms, written as POSCAR:
```
LaV2Ru2
1.0
-1.313 0.766 4.029
-0.841 -4.191 0.523
3.577 -2.439 3.931
Ru La V
2 1 2
direct
0.750 0.250 0.500
0.250 0.750 0.500
0.000 0.000 0.000
0.368 0.368 0.263
0.632 0.632 0.737
```

Computed properties:
The value obtained for the density is 7.9 g/cm³. The value obtained for the spin magnetization is 0.000 Bohr magnetons per cell. Its density of states at the Fermi level is 4.94 states/eV/cell. Its space group is No. 139.

=====

2.
A plane-wave DFT calculation with PBE-GGA was carried out for a relaxed structure of LaV2Ru2.

Cell and atoms, written as POSCAR:
```
LaV2Ru2
1.0
7.665 0.000 0.000
0.000 7.665 0.000
0.000 0.000 2.929
Ru La V
4 2 4
direct
0.347 0.847 0.000
0.847 0.653 0.000
0.653 0.153 0.000
0.153 0.347 0.000
0.000 0.000 0.000
0.500 0.500 0.000
0.130 0.630 0.500
0.630 0.870 0.500
0.870 0.370 0.500
0.370 0.130 0.500
```

Computed properties:
The value obtained for the density is 8.5 g/cm³. The value obtained for the spin magnetization is 5.330 Bohr magnetons per cell. Its density of states at the Fermi level is 11.61 states/eV/cell. Its space group is No. 127.

=====

Most stable to least stable: 1, 2